First-principles (PBE) data for YHoPbO2 after structural relaxation, as listed in Alexandria via LeMat-Bulk.

Computed properties:
ρ   7.82 Mg/m³
Formation energy from raw total energies   -2.55 eV per atom
M_tot   0.00 μB/f.u.

Cell: 3.844 3.844 7.586 Å, 104.68 104.68 90.00°
Sites, in units of the cell vectors:
Y: 0.170 0.170 0.341
Ho: 0.828 0.828 0.657
Pb: 0.499 0.499 0.999
O: 0.751 0.251 0.502
O: 0.251 0.751 0.502


First-principles (PBE) data for Ho3PdO6 after structural relaxation, as listed in Alexandria via LeMat-Bulk.

Computed properties:
Excess energy over the best structure of this formula in the dataset   0.000 eV per atom
ρ   8.09 Mg/m³
Formation energy from raw total energies   -2.75 eV per atom
M_tot   1.00 μB/f.u.

Cell: 6.597 6.597 6.597 Å, 92.50 92.50 92.50°
Last column: magnetic moment on the atom in μB.
Sites, in units of the cell vectors:
O: 0.799 0.466 0.589  0.00
Ho: 0.437 0.928 0.749  0.01
Pd: 0.000 0.000 0.000  1.25
Ho: 0.928 0.749 0.437  0.01
O: 0.534 0.411 0.201  0.00
Ho: 0.251 0.563 0.072  0.01
O: 0.201 0.534 0.411  0.00
O: 0.589 0.799 0.466  0.00
Ho: 0.563 0.072 0.251  0.01
Ho: 0.072 0.251 0.563  0.01
O: 0.325 0.895 0.067  0.09
O: 0.411 0.201 0.534  0.00
O: 0.675 0.105 0.933  0.09
Ho: 0.749 0.437 0.928  0.01
Pd: 0.500 0.500 0.500  0.02
O: 0.895 0.067 0.325  0.09
O: 0.466 0.589 0.799  0.00
O: 0.067 0.325 0.895  0.09
O: 0.105 0.933 0.675  0.09
O: 0.933 0.675 0.105  0.09


First-principles (PBE) data for HoPd3O4 after structural relaxation, as listed in Alexandria via LeMat-Bulk.

Computed properties:
ρ   9.01 Mg/m³
Formation energy from raw total energies   -1.29 eV per atom
M_tot   0.00 μB/f.u.

Cell: 5.868 5.868 5.868 Å, 90.00 90.00 90.00°
Sites, in units of the cell vectors:
Pd: 0.750 0.000 0.500
Pd: 0.500 0.250 0.000
O: 0.750 0.750 0.250
Pd: 0.500 0.750 0.000
O: 0.250 0.750 0.250
Pd: 0.000 0.500 0.250
Pd: 0.250 0.000 0.500
O: 0.250 0.250 0.750
O: 0.250 0.750 0.750
O: 0.750 0.750 0.750
O: 0.750 0.250 0.250
Ho: 0.500 0.500 0.500
O: 0.750 0.250 0.750
Ho: 0.000 0.000 0.000
O: 0.250 0.250 0.250
Pd: 0.000 0.500 0.750


First-principles (PBE) data for Ho2PdO after structural relaxation, as listed in Alexandria via LeMat-Bulk.

Computed properties:
Excess energy over the best structure of this formula in the dataset   0.000 eV per atom
ρ   9.04 Mg/m³
Formation energy from raw total energies   -1.79 eV per atom
M_tot   0.00 μB/f.u.

Cell: 5.881 5.875 9.673 Å, 96.16 90.00 90.00°
Sites, in units of the cell vectors:
O: 0.129 0.907 0.876
Ho: 0.198 0.534 0.850
Pd: 0.323 0.939 0.364
Ho: 0.198 0.966 0.650
Pd: 0.677 0.439 0.864
Pd: 0.677 0.061 0.636
Ho: 0.802 0.466 0.150
Ho: 0.241 0.448 0.410
Ho: 0.802 0.034 0.350
O: 0.871 0.407 0.376
Ho: 0.241 0.052 0.090
Pd: 0.323 0.561 0.136
Ho: 0.759 0.948 0.910
O: 0.129 0.593 0.624
O: 0.871 0.093 0.124
Ho: 0.759 0.552 0.590


First-principles (PBE) data for Ho3PdO6 after structural relaxation, as listed in Alexandria via LeMat-Bulk.

Computed properties:
Excess energy over the best structure of this formula in the dataset   0.042 eV per atom
ρ   8.55 Mg/m³
Formation energy from raw total energies   -2.71 eV per atom
M_tot   1.02 μB/f.u.

Cell: 5.503 7.092 7.092 Å, 101.94 90.00 90.00°
Last column: magnetic moment on the atom in μB.
Sites, in units of the cell vectors:
O: 0.650 0.221 0.779  0.03
O: 0.192 0.675 0.644  0.01
O: 0.677 0.894 0.405  0.17
O: 0.692 0.644 0.675  0.01
Pd: 0.973 0.137 0.863  0.44
O: 0.677 0.595 0.106  0.17
Ho: 0.914 0.602 0.398  0.00
Ho: 0.966 0.675 0.909  0.01
O: 0.692 0.325 0.356  0.01
Pd: 0.473 0.863 0.137  0.44
O: 0.192 0.356 0.325  0.01
Ho: 0.414 0.398 0.602  0.00
Ho: 0.966 0.091 0.325  0.01
O: 0.150 0.779 0.221  0.03
Ho: 0.466 0.325 0.091  0.01
Ho: 0.466 0.909 0.675  0.01
O: 0.177 0.405 0.894  0.17
O: 0.177 0.106 0.595  0.17
O: 0.280 0.024 0.976  0.07
O: 0.780 0.976 0.024  0.07


First-principles (PBE) data for Ho12Pd3O5 after structural relaxation, as listed in Alexandria via LeMat-Bulk.

Computed properties:
ρ   9.09 Mg/m³
Formation energy from raw total energies   -1.65 eV per atom
M_tot   2.44 μB/f.u.

Cell: 13.117 13.117 13.117 Å, 109.47 109.47 109.47°
Last column: magnetic moment on the atom in μB.
Sites, in units of the cell vectors:
Ho: 0.385 0.981 0.795  0.12
Ho: 0.885 0.295 0.481  0.12
Ho: 0.404 0.385 0.590  0.12
O: 0.125 0.375 0.250  0.01
O: 0.375 0.250 0.125  0.01
O: 0.500 0.000 0.500  0.00
Ho: 0.205 0.686 0.090  0.12
Ho: 0.481 0.795 0.885  0.12
Ho: 0.019 0.404 0.814  0.12
Pd: 0.375 0.625 0.250  0.06
O: 0.375 0.125 0.750  0.01
Pd: 0.625 0.250 0.375  0.06
Ho: 0.910 0.096 0.615  0.12
Ho: 0.410 0.295 0.314  0.12
Ho: 0.705 0.590 0.186  0.12
Ho: 0.904 0.814 0.519  0.12
Pd: 0.625 0.375 0.750  0.06
Ho: 0.615 0.596 0.910  0.12
Ho: 0.205 0.519 0.615  0.12
Ho: 0.090 0.186 0.205  0.12
Pd: 0.125 0.250 0.875  0.06
Pd: 0.750 0.375 0.125  0.06
O: 0.000 0.500 0.000  0.00
Ho: 0.096 0.910 0.115  0.12
Ho: 0.186 0.096 0.981  0.12
Ho: 0.814 0.904 0.019  0.12
Ho: 0.814 0.910 0.295  0.12
Ho: 0.404 0.019 0.314  0.12
Ho: 0.519 0.314 0.904  0.12
Pd: 0.250 0.625 0.875  0.06
Ho: 0.904 0.090 0.885  0.12
O: 0.000 0.000 0.500  0.00
O: 0.250 0.375 0.625  0.01
Ho: 0.590 0.705 0.686  0.12
Ho: 0.385 0.404 0.090  0.12
Pd: 0.750 0.875 0.625  0.06
Ho: 0.186 0.090 0.705  0.12
Pd: 0.375 0.750 0.625  0.06
O: 0.000 0.000 0.000  0.00
O: 0.000 0.500 0.500  0.00
Ho: 0.314 0.519 0.404  0.12
Ho: 0.481 0.686 0.096  0.12
Ho: 0.686 0.481 0.596  0.12
O: 0.500 0.000 0.000  0.00
Ho: 0.615 0.019 0.205  0.12
O: 0.125 0.750 0.375  0.01
Ho: 0.519 0.205 0.115  0.12
Ho: 0.596 0.981 0.686  0.12
O: 0.875 0.250 0.625  0.01
Pd: 0.875 0.750 0.125  0.06
Ho: 0.885 0.590 0.904  0.12
Ho: 0.910 0.814 0.795  0.12
Ho: 0.410 0.115 0.596  0.12
Ho: 0.590 0.885 0.404  0.12
Pd: 0.875 0.125 0.250  0.06
Ho: 0.981 0.385 0.295  0.12
Pd: 0.250 0.125 0.375  0.06
O: 0.750 0.625 0.375  0.01
Ho: 0.795 0.314 0.910  0.12
Ho: 0.596 0.615 0.410  0.12
Ho: 0.686 0.205 0.590  0.12
Pd: 0.125 0.875 0.750  0.06
O: 0.625 0.875 0.250  0.01
Ho: 0.295 0.410 0.814  0.12
Ho: 0.115 0.705 0.519  0.12
Ho: 0.115 0.410 0.096  0.12
O: 0.750 0.125 0.875  0.01
Ho: 0.096 0.186 0.481  0.12
O: 0.500 0.500 0.000  0.00
O: 0.625 0.750 0.875  0.01
Ho: 0.314 0.795 0.410  0.12
Ho: 0.795 0.481 0.385  0.12
Ho: 0.981 0.596 0.186  0.12
O: 0.500 0.500 0.500  0.00
O: 0.875 0.625 0.750  0.01
Ho: 0.019 0.615 0.705  0.12
Ho: 0.090 0.904 0.385  0.12
O: 0.250 0.875 0.125  0.01
Ho: 0.705 0.115 0.019  0.12
Ho: 0.295 0.885 0.981  0.12


What did the third record say?
First-principles (PBE) data for HoPd3O4 after structural relaxation, as listed in Alexandria via LeMat-Bulk.

Computed properties:
ρ   9.01 Mg/m³
Formation energy from raw total energies   -1.29 eV per atom
M_tot   0.00 μB/f.u.

Cell: 5.868 5.868 5.868 Å, 90.00 90.00 90.00°
Sites, in units of the cell vectors:
Pd: 0.750 0.000 0.500
Pd: 0.500 0.250 0.000
O: 0.750 0.750 0.250
Pd: 0.500 0.750 0.000
O: 0.250 0.750 0.250
Pd: 0.000 0.500 0.250
Pd: 0.250 0.000 0.500
O: 0.250 0.250 0.750
O: 0.250 0.750 0.750
O: 0.750 0.750 0.750
O: 0.750 0.250 0.250
Ho: 0.500 0.500 0.500
O: 0.750 0.250 0.750
Ho: 0.000 0.000 0.000
O: 0.250 0.250 0.250
Pd: 0.000 0.500 0.750